1.
# K3LiMg4Si12O30

K3LiMg4Si12O30 after structural relaxation (PBE-GGA, the Alexandria database).

Computed properties:
- E_tot (eV per cell) = -724.790
- formation energy without anion corrections (eV per atom) = -2.7398
- magnetic moment (μB per cell) = 0.00
- V (Å³ per cell) = 1330

CIF file:
```
data_K3LiMg4Si12O30
_chemical_formula_sum 'K6 Li2 Mg8 Si24 O60'
_space_group_name_H-M_alt 'P 1'
_space_group_IT_number 1
_space_group_name_Hall 'P 1'
_cell_length_a 10.397
_cell_length_b 10.397
_cell_length_c 14.223
_cell_angle_alpha 90.00
_cell_angle_beta 90.00
_cell_angle_gamma 120.08
loop_
_atom_site_label
_atom_site_fract_x
_atom_site_fract_y
_atom_site_fract_z
K1 0.669 0.333 0.500
K2 0.000 0.000 0.750
K3 0.667 0.331 0.000
K4 0.333 0.669 0.000
K5 0.331 0.667 0.500
K6 0.000 0.000 0.250
Li1 0.000 0.500 0.750
Li2 0.500 0.000 0.250
Mg1 0.678 0.339 0.750
Mg2 0.661 0.322 0.250
Mg3 0.000 0.500 0.250
Mg4 0.322 0.661 0.750
Mg5 0.500 0.000 0.750
Mg6 0.339 0.678 0.250
Mg7 0.500 0.500 0.750
Mg8 0.500 0.500 0.250
Si1 0.345 0.234 0.386
Si2 0.346 0.236 0.614
Si3 0.348 0.111 0.114
Si4 0.344 0.109 0.886
Si5 0.766 0.655 0.886
Si6 0.764 0.654 0.114
Si7 0.889 0.652 0.614
Si8 0.891 0.656 0.386
Si9 0.767 0.110 0.614
Si10 0.763 0.110 0.385
Si11 0.110 0.763 0.885
Si12 0.110 0.767 0.114
Si13 0.890 0.237 0.885
Si14 0.890 0.233 0.114
Si15 0.233 0.890 0.614
Si16 0.237 0.890 0.385
Si17 0.111 0.348 0.614
Si18 0.109 0.344 0.386
Si19 0.234 0.345 0.886
Si20 0.236 0.346 0.114
Si21 0.652 0.889 0.114
Si22 0.656 0.891 0.886
Si23 0.655 0.766 0.386
Si24 0.654 0.764 0.614
O1 0.276 0.217 0.859
O2 0.276 0.216 0.141
O3 0.275 0.060 0.642
O4 0.273 0.059 0.359
O5 0.377 0.254 0.500
O6 0.374 0.121 0.000
O7 0.497 0.342 0.670
O8 0.497 0.342 0.331
O9 0.658 0.503 0.831
O10 0.658 0.503 0.170
O11 0.501 0.159 0.167
O12 0.496 0.154 0.830
O13 0.784 0.724 0.641
O14 0.783 0.724 0.359
O15 0.746 0.623 0.000
O16 0.879 0.626 0.500
O17 0.941 0.727 0.859
O18 0.940 0.725 0.142
O19 0.659 0.159 0.333
O20 0.659 0.154 0.669
O21 0.841 0.499 0.667
O22 0.846 0.504 0.330
O23 0.058 0.786 0.641
O24 0.059 0.786 0.358
O25 0.841 0.341 0.833
O26 0.846 0.341 0.169
O27 0.748 0.122 0.500
O28 0.214 0.941 0.858
O29 0.214 0.942 0.141
O30 0.122 0.748 0.000
O31 0.878 0.252 0.000
O32 0.786 0.059 0.858
O33 0.786 0.058 0.141
O34 0.252 0.878 0.500
O35 0.159 0.659 0.833
O36 0.154 0.659 0.169
O37 0.941 0.214 0.358
O38 0.942 0.214 0.641
O39 0.159 0.501 0.667
O40 0.154 0.496 0.330
O41 0.341 0.841 0.333
O42 0.341 0.846 0.669
O43 0.059 0.273 0.859
O44 0.060 0.275 0.142
O45 0.121 0.374 0.500
O46 0.254 0.377 0.000
O47 0.216 0.276 0.641
O48 0.217 0.276 0.359
O49 0.499 0.841 0.167
O50 0.504 0.846 0.830
O51 0.342 0.497 0.831
O52 0.342 0.497 0.170
O53 0.503 0.658 0.670
O54 0.503 0.658 0.331
O55 0.626 0.879 0.000
O56 0.623 0.746 0.500
O57 0.725 0.940 0.642
O58 0.727 0.941 0.359
O59 0.724 0.783 0.859
O60 0.724 0.784 0.141
```

2.
# Tb5AlCu4

Tb5AlCu4 after structural relaxation (PBE-GGA, the Alexandria database).

Computed properties:
- E_tot (eV per cell) = -45.957
- magnetic moment (μB per cell) = 0.00
- energy relative to the elements (eV per formula unit) = -2.7
- V (Å³ per cell) = 216

CIF file:
```
data_Tb5AlCu4
_chemical_formula_sum 'Tb5 Al1 Cu4'
_space_group_name_H-M_alt 'P 1'
_space_group_IT_number 1
_space_group_name_Hall 'P 1'
_cell_length_a 3.485
_cell_length_b 3.485
_cell_length_c 17.807
_cell_angle_alpha 90.00
_cell_angle_beta 90.00
_cell_angle_gamma 90.00
loop_
_atom_site_label
_atom_site_fract_x
_atom_site_fract_y
_atom_site_fract_z
Tb1 0.500 0.500 0.108
Tb2 0.500 0.500 0.304
Tb3 0.500 0.500 0.500
Tb4 0.500 0.500 0.696
Tb5 0.500 0.500 0.892
Al1 0.000 0.000 0.000
Cu1 0.000 0.000 0.204
Cu2 0.000 0.000 0.403
Cu3 0.000 0.000 0.597
Cu4 0.000 0.000 0.796
```

3.
# ZnGeAu6

ZnGeAu6 after structural relaxation (PBE-GGA, the Alexandria database).

Computed properties:
- E_tot (eV per cell) = -25.675
- magnetic moment (μB per cell) = 0.00
- energy relative to the elements (eV per formula unit) = -0.1
- energy relative to the lowest polymorph listed for this composition (eV/f.u.) = 0.00
- V (Å³ per cell) = 143

CIF file:
```
data_ZnGeAu6
_chemical_formula_sum 'Zn1 Ge1 Au6'
_space_group_name_H-M_alt 'P 1'
_space_group_IT_number 1
_space_group_name_Hall 'P 1'
_cell_length_a 4.971
_cell_length_b 4.971
_cell_length_c 6.695
_cell_angle_alpha 107.28
_cell_angle_beta 107.28
_cell_angle_gamma 101.53
loop_
_atom_site_label
_atom_site_fract_x
_atom_site_fract_y
_atom_site_fract_z
Zn1 0.000 0.000 0.000
Ge1 0.500 0.500 0.000
Au1 0.621 0.121 0.243
Au2 0.879 0.379 0.757
Au3 0.244 0.244 0.487
Au4 0.121 0.621 0.243
Au5 0.379 0.879 0.757
Au6 0.756 0.756 0.513
```